Record 1
First-principles (PBE) data for a geometry-optimized CsK2CdS structure, as listed in Alexandria via LeMat-Bulk.

Calculated values
DFT total energy = -2.12 eV per atom
Space group = No. 123

a b c (Å): 6.1162 6.1162 6.8300
angles (deg): 90.00 90.00 90.00
With the nearest neighbours (Å) after each atom.
Fractional positions:
Cs1 0.0000 0.0000 0.0000  2 S 3.42
K1 0.0000 0.5000 0.5000  2 S 3.06
K2 0.5000 0.0000 0.5000  2 S 3.06
Cd1 0.5000 0.5000 0.0000  4 Cs 4.32, 8 K 4.58
S1 0.0000 0.0000 0.5000  4 K 3.06, 2 Cs 3.42

Record 2
First-principles (PBE) data for a geometry-optimized Zr2PN4 structure, as listed in Alexandria via LeMat-Bulk.

Calculated values
DFT total energy = -8.96 eV per atom
Space group = No. 62

a b c (Å): 10.1069 3.3804 10.5615
angles (deg): 90.00 90.00 90.00
With the nearest neighbours (Å) after each atom.
Fractional positions:
Zr1 0.1110 0.2500 0.2120  5 N 2.13-2.28
Zr2 0.1226 0.2500 0.5582  6 N 2.19-2.33
Zr3 0.3774 0.7500 0.0582  6 N 2.19-2.33
Zr4 0.3890 0.7500 0.7120  5 N 2.13-2.28
Zr5 0.6110 0.2500 0.2880  5 N 2.13-2.28
Zr6 0.6226 0.2500 0.9418  6 N 2.19-2.33
Zr7 0.8774 0.7500 0.4418  6 N 2.19-2.33
Zr8 0.8890 0.7500 0.7880  5 N 2.13-2.28
P1 0.1579 0.2500 0.8783  3 N 1.58-1.63
P2 0.3421 0.7500 0.3783  3 N 1.58-1.63
P3 0.6579 0.2500 0.6217  3 N 1.58-1.63
P4 0.8421 0.7500 0.1217  3 N 1.58-1.63
N1 0.0009 0.2500 0.3845  4 Zr 2.13-2.21
N2 0.0016 0.2500 0.8666  1 P 1.58
N3 0.2286 0.2500 0.0144  1 P 1.61
N4 0.2420 0.2500 0.7472  1 P 1.63
N5 0.2580 0.7500 0.2472  1 P 1.63
N6 0.2714 0.7500 0.5144  1 P 1.61
N7 0.4984 0.7500 0.3666  1 P 1.58
N8 0.4991 0.7500 0.8845  4 Zr 2.13-2.21
N9 0.5009 0.2500 0.1155  4 Zr 2.13-2.21
N10 0.5016 0.2500 0.6334  1 P 1.58
N11 0.7286 0.2500 0.4856  1 P 1.61
N12 0.7420 0.2500 0.7528  1 P 1.63
N13 0.7580 0.7500 0.2528  1 P 1.63
N14 0.7714 0.7500 0.9856  1 P 1.61
N15 0.9984 0.7500 0.1334  1 P 1.58
N16 0.9991 0.7500 0.6155  4 Zr 2.13-2.21

Record 3
First-principles (PBE) data for a geometry-optimized LaErSc2 structure, as listed in Alexandria via LeMat-Bulk.

Calculated values
Energy above the lowest structure with this stoichiometry = 118.5 meV per atom
DFT total energy = -5.36 eV per atom
Space group = No. 14
Energy of formation = 178 meV/atom

a b c (Å): 6.7379 8.0355 8.7403
angles (deg): 90.00 90.03 90.00
With the nearest neighbours (Å) after each atom.
Fractional positions:
La1 0.1318 0.0383 0.3180  6 Sc 3.30-3.41, 3 Er 3.33-3.60
La2 0.1318 0.4617 0.8180  6 Sc 3.30-3.41, 3 Er 3.33-3.60
La3 0.8682 0.5383 0.1820  6 Sc 3.30-3.41, 3 Er 3.33-3.60
La4 0.8682 0.9617 0.6820  6 Sc 3.30-3.41, 3 Er 3.33-3.60
Er1 0.3752 0.5193 0.1814  6 Sc 3.20-3.44, 2 La 3.33-3.42
Er2 0.3752 0.9807 0.6814  6 Sc 3.20-3.44, 2 La 3.33-3.42
Er3 0.6248 0.0193 0.3186  6 Sc 3.20-3.44, 2 La 3.33-3.42
Er4 0.6248 0.4807 0.8186  6 Sc 3.20-3.44, 2 La 3.33-3.42
Sc1 0.1328 0.6657 0.4904  4 Sc 3.16-3.49, 4 La 3.30-3.41, 2 Er 3.37-3.44
Sc2 0.1328 0.8343 0.9904  4 Sc 3.16-3.49, 4 La 3.30-3.41, 2 Er 3.37-3.44
Sc3 0.3858 0.1657 0.0055  3 Sc 3.08-3.24, 4 Er 3.20-3.42, 2 La 3.36-3.38
Sc4 0.3858 0.3343 0.5055  3 Sc 3.08-3.24, 4 Er 3.20-3.42, 2 La 3.36-3.38
Sc5 0.6142 0.6657 0.4945  3 Sc 3.08-3.24, 4 Er 3.20-3.42, 2 La 3.36-3.38
Sc6 0.6142 0.8343 0.9945  3 Sc 3.08-3.24, 4 Er 3.20-3.42, 2 La 3.36-3.38
Sc7 0.8672 0.1657 0.0096  4 Sc 3.16-3.49, 4 La 3.30-3.41, 2 Er 3.37-3.44
Sc8 0.8672 0.3343 0.5096  4 Sc 3.16-3.49, 4 La 3.30-3.41, 2 Er 3.37-3.44

Record 4
First-principles (PBE) data for a geometry-optimized Nd6HIr2 structure, as listed in Alexandria via LeMat-Bulk.

Calculated values
DFT total energy = -6.00 eV per atom
Space group = No. 14

a b c (Å): 6.5788 7.3420 11.7395
angles (deg): 90.00 122.37 90.00
With the nearest neighbours (Å) after each atom.
Fractional positions:
Nd1 0.1083 0.0354 0.2527  1 H 2.67, 2 Ir 2.87-2.98
Nd2 0.1083 0.4646 0.7527  1 H 2.67, 2 Ir 2.87-2.98
Nd3 0.2366 0.6699 0.0677  1 H 2.58
Nd4 0.2366 0.8301 0.5677  1 H 2.58
Nd5 0.3911 0.1753 0.0645  1 H 2.71, 2 Ir 2.88-2.99
Nd6 0.3911 0.3247 0.5645  1 H 2.71, 2 Ir 2.88-2.99
Nd7 0.6089 0.6753 0.4355  1 H 2.71, 2 Ir 2.88-2.99
Nd8 0.6089 0.8247 0.9355  1 H 2.71, 2 Ir 2.88-2.99
Nd9 0.7634 0.1699 0.4323  1 H 2.58
Nd10 0.7634 0.3301 0.9323  1 H 2.58
Nd11 0.8917 0.5354 0.2473  1 H 2.67, 2 Ir 2.87-2.98
Nd12 0.8917 0.9646 0.7473  1 H 2.67, 2 Ir 2.87-2.98
H1 0.5000 0.0000 0.5000  6 Nd 2.58-2.71
H2 0.5000 0.5000 0.0000  6 Nd 2.58-2.71
Ir1 0.3233 0.1207 0.7618  6 Nd 2.87-2.99
Ir2 0.3233 0.3793 0.2618  6 Nd 2.87-2.99
Ir3 0.6767 0.6207 0.7382  6 Nd 2.87-2.99
Ir4 0.6767 0.8793 0.2382  6 Nd 2.87-2.99

Record 5
First-principles (PBE) data for a geometry-optimized AcTb3Cd4 structure, as listed in Alexandria via LeMat-Bulk.

Calculated values
DFT total energy = -2.99 eV per atom
Space group = No. 51
Energy of formation = -285 meV/atom

a b c (Å): 10.8051 7.7689 5.4041
angles (deg): 90.00 90.00 90.00
With the nearest neighbours (Å) after each atom.
Fractional positions:
Ac1 0.0000 0.0000 0.0000  8 Cd 3.42, 4 Tb 3.82
Ac2 0.5000 0.0000 0.0000  8 Cd 3.42, 4 Tb 3.82
Tb1 0.0000 0.5000 0.0000  8 Cd 3.24
Tb2 0.2500 0.0000 0.4993  8 Cd 3.42, 4 Ac 3.82
Tb3 0.2500 0.5000 0.4992  8 Cd 3.24
Tb4 0.5000 0.5000 0.0000  8 Cd 3.24
Tb5 0.7500 0.0000 0.5007  8 Cd 3.42, 4 Ac 3.82
Tb6 0.7500 0.5000 0.5008  8 Cd 3.24
Cd1 0.0000 0.2700 0.5000  6 Tb 3.24-3.42, 2 Ac 3.42, 1 Cd 3.57
Cd2 0.0000 0.7300 0.5000  6 Tb 3.24-3.42, 2 Ac 3.42, 1 Cd 3.57
Cd3 0.2500 0.2700 0.9989  6 Tb 3.24-3.42, 2 Ac 3.42, 1 Cd 3.57
Cd4 0.2500 0.7300 0.9989  6 Tb 3.24-3.42, 2 Ac 3.42, 1 Cd 3.57
Cd5 0.5000 0.2700 0.5000  6 Tb 3.24-3.42, 2 Ac 3.42, 1 Cd 3.57
Cd6 0.5000 0.7300 0.5000  6 Tb 3.24-3.42, 2 Ac 3.42, 1 Cd 3.57
Cd7 0.7500 0.2700 0.0011  6 Tb 3.24-3.42, 2 Ac 3.42, 1 Cd 3.57
Cd8 0.7500 0.7300 0.0011  6 Tb 3.24-3.42, 2 Ac 3.42, 1 Cd 3.57

Record 6
First-principles (PBE) data for a geometry-optimized BeCrP structure, as listed in Alexandria via LeMat-Bulk.

Calculated values
Energy above the lowest structure with this stoichiometry = 557.6 meV per atom
DFT total energy = -6.07 eV per atom
Space group = No. 216
Energy of formation = 184 meV/atom

a b c (Å): 5.3585 5.3585 5.3585
angles (deg): 90.00 90.00 90.00
With the nearest neighbours (Å) after each atom.
Fractional positions:
Be1 0.0000 0.0000 0.0000  4 Cr 2.32
Be2 0.0000 0.5000 0.5000  4 Cr 2.32
Be3 0.5000 0.0000 0.5000  4 Cr 2.32
Be4 0.5000 0.5000 0.0000  4 Cr 2.32
Cr1 0.2500 0.2500 0.2500  4 Be 2.32, 4 P 2.32
Cr2 0.2500 0.7500 0.7500  4 Be 2.32, 4 P 2.32
Cr3 0.7500 0.2500 0.7500  4 Be 2.32, 4 P 2.32
Cr4 0.7500 0.7500 0.2500  4 Be 2.32, 4 P 2.32
P1 0.0000 0.0000 0.5000  4 Cr 2.32
P2 0.0000 0.5000 0.0000  4 Cr 2.32
P3 0.5000 0.0000 0.0000  4 Cr 2.32
P4 0.5000 0.5000 0.5000  4 Cr 2.32

Number 1: total moment 0.0 Bohr magnetons per cell, Fermi-level density of states 3.5 states/eV/cell. Number 2: total moment 0.0 Bohr magnetons per cell, Fermi-level density of states 8.0 states/eV/cell. Number 3: total moment 0.0 Bohr magnetons per cell, Fermi-level density of states 25.8 states/eV/cell. Number 4: total moment 0.0 Bohr magnetons per cell, Fermi-level density of states 16.1 states/eV/cell. Number 5: total moment 0.4 Bohr magnetons per cell, Fermi-level density of states 19.5 states/eV/cell. Number 6: total moment 7.7 Bohr magnetons per cell, Fermi-level density of states 8.3 states/eV/cell.